[1]
First-principles (GGA-PBEsol) data for crystalline CaTiAs2Br at its relaxed geometry, as listed in Alexandria.

- Spin magnetization: 1.24 μB/f.u.
- Uncorrected formation energy: 0.559 eV per atom
- Electronic total energy: -3.95 eV/atom

Structure (CIF):
```
data_CaTiAs2Br
_chemical_formula_sum 'Ca1 Ti1 As2 Br1'
_symmetry_space_group_name_H-M 'P 4/m m m'
_symmetry_Int_Tables_number 123
_symmetry_space_group_name_Hall '-P 4 2'
_cell_length_a 5.221
_cell_length_b 5.221
_cell_length_c 5.214
_cell_angle_alpha 90.00
_cell_angle_beta 90.00
_cell_angle_gamma 90.00
loop_
_atom_site_label
_atom_site_fract_x
_atom_site_fract_y
_atom_site_fract_z
Ca1 0.000 0.000 0.000
Ti1 0.500 0.500 0.500
As1 0.000 0.500 0.000
Br1 0.000 0.000 0.500
```


[2]
First-principles (GGA-PBEsol) data for crystalline CaYAsBr2 at its relaxed geometry, as listed in Alexandria.

- Spin magnetization: 0.00 μB/f.u.
- Uncorrected formation energy: -0.743 eV per atom
- Electronic total energy: -4.30 eV/atom

Structure (CIF):
```
data_CaYAsBr2
_chemical_formula_sum 'Ca1 Y1 As1 Br2'
_symmetry_space_group_name_H-M 'P 4/m m m'
_symmetry_Int_Tables_number 123
_symmetry_space_group_name_Hall '-P 4 2'
_cell_length_a 5.112
_cell_length_b 5.112
_cell_length_c 5.833
_cell_angle_alpha 90.00
_cell_angle_beta 90.00
_cell_angle_gamma 90.00
loop_
_atom_site_label
_atom_site_fract_x
_atom_site_fract_y
_atom_site_fract_z
Ca1 0.000 0.000 0.000
Y1 0.500 0.500 0.500
As1 0.000 0.000 0.500
Br1 0.000 0.500 0.000
```


[3]
First-principles (GGA-PBEsol) data for crystalline CaZrAs2Br at its relaxed geometry, as listed in Alexandria.

- Spin magnetization: 0.00 μB/f.u.
- Uncorrected formation energy: -0.690 eV per atom
- Electronic total energy: -5.35 eV/atom

Structure (CIF):
```
data_CaZrAs2Br
_chemical_formula_sum 'Ca1 Zr1 As2 Br1'
_symmetry_space_group_name_H-M 'P 4/m m m'
_symmetry_Int_Tables_number 123
_symmetry_space_group_name_Hall '-P 4 2'
_cell_length_a 5.138
_cell_length_b 5.138
_cell_length_c 5.244
_cell_angle_alpha 90.00
_cell_angle_beta 90.00
_cell_angle_gamma 90.00
loop_
_atom_site_label
_atom_site_fract_x
_atom_site_fract_y
_atom_site_fract_z
Ca1 0.000 0.000 0.000
Zr1 0.500 0.500 0.500
As1 0.000 0.500 0.500
Br1 0.500 0.500 0.000
```


[4]
First-principles (GGA-PBEsol) data for crystalline CdAs2Br at its relaxed geometry, as listed in Alexandria.

- Spin magnetization: 0.00 μB/f.u.
- Uncorrected formation energy: -0.033 eV per atom
- Distance to the lowest polymorph of the same formula: 37 meV/atom
- Electronic total energy: -3.35 eV/atom

Structure (CIF):
```
data_CdAs2Br
_chemical_formula_sum 'Cd1 As2 Br1'
_symmetry_space_group_name_H-M 'P 1 2/m 1'
_symmetry_Int_Tables_number 10
_symmetry_space_group_name_Hall '-P 2y'
_cell_length_a 3.714
_cell_length_b 4.887
_cell_length_c 5.483
_cell_angle_alpha 90.00
_cell_angle_beta 105.14
_cell_angle_gamma 90.00
loop_
_atom_site_label
_atom_site_fract_x
_atom_site_fract_y
_atom_site_fract_z
Cd1 0.000 0.000 0.000
As1 0.204 0.500 0.836
Br1 0.500 0.000 0.500
```


[5]
First-principles (GGA-PBEsol) data for crystalline CdAs2Br at its relaxed geometry, as listed in Alexandria.

- Spin magnetization: 0.00 μB/f.u.
- Uncorrected formation energy: -0.070 eV per atom
- Distance to the lowest polymorph of the same formula: 0 meV/atom
- Electronic total energy: -3.39 eV/atom

Structure (CIF):
```
data_CdAs2Br
_chemical_formula_sum 'Cd2 As4 Br2'
_symmetry_space_group_name_H-M 'A m m 2'
_symmetry_Int_Tables_number 38
_symmetry_space_group_name_Hall 'A 2 -2'
_cell_length_a 3.697
_cell_length_b 5.528
_cell_length_c 9.066
_cell_angle_alpha 90.00
_cell_angle_beta 90.00
_cell_angle_gamma 90.00
loop_
_atom_site_label
_atom_site_fract_x
_atom_site_fract_y
_atom_site_fract_z
Cd1 0.000 0.000 0.000
As1 0.000 0.000 0.556
As2 0.500 0.000 0.743
Br1 0.500 0.000 0.255
```


[6]
First-principles (GGA-PBEsol) data for crystalline CdAs4Br at its relaxed geometry, as listed in Alexandria.

- Spin magnetization: 0.00 μB/f.u.
- Uncorrected formation energy: 0.202 eV per atom
- Electronic total energy: -3.71 eV/atom

Structure (CIF):
```
data_CdAs4Br
_chemical_formula_sum 'Cd4 As16 Br4'
_symmetry_space_group_name_H-M 'F -4 3 m'
_symmetry_Int_Tables_number 216
_symmetry_space_group_name_Hall 'F -4 2 3'
_cell_length_a 8.295
_cell_length_b 8.295
_cell_length_c 8.295
_cell_angle_alpha 90.00
_cell_angle_beta 90.00
_cell_angle_gamma 90.00
loop_
_atom_site_label
_atom_site_fract_x
_atom_site_fract_y
_atom_site_fract_z
Cd1 0.000 0.000 0.000
As1 0.106 0.106 0.606
Br1 0.250 0.250 0.250
```


[7]
First-principles (GGA-PBEsol) data for crystalline Cd2AsBr at its relaxed geometry, as listed in Alexandria.

- Spin magnetization: 0.00 μB/f.u.
- Uncorrected formation energy: 0.275 eV per atom
- Distance to the lowest polymorph of the same formula: 581 meV/atom
- Electronic total energy: -2.07 eV/atom

Structure (CIF):
```
data_Cd2AsBr
_chemical_formula_sum 'Cd8 As4 Br4'
_symmetry_space_group_name_H-M 'F -4 3 m'
_symmetry_Int_Tables_number 216
_symmetry_space_group_name_Hall 'F -4 2 3'
_cell_length_a 7.061
_cell_length_b 7.061
_cell_length_c 7.061
_cell_angle_alpha 90.00
_cell_angle_beta 90.00
_cell_angle_gamma 90.00
loop_
_atom_site_label
_atom_site_fract_x
_atom_site_fract_y
_atom_site_fract_z
Cd1 0.000 0.000 0.000
Cd2 0.250 0.250 0.250
As1 0.250 0.250 0.750
Br1 0.000 0.000 0.500
```


[8]
First-principles (GGA-PBEsol) data for crystalline Cd2AsBr at its relaxed geometry, as listed in Alexandria.

- Spin magnetization: 0.00 μB/f.u.
- Uncorrected formation energy: -0.306 eV per atom
- Distance to the lowest polymorph of the same formula: 0 meV/atom
- Electronic total energy: -2.65 eV/atom

Structure (CIF):
```
data_Cd2AsBr
_chemical_formula_sum 'Cd8 As4 Br4'
_symmetry_space_group_name_H-M 'I -4 2 d'
_symmetry_Int_Tables_number 122
_symmetry_space_group_name_Hall 'I -4 2bw'
_cell_length_a 6.140
_cell_length_b 6.140
_cell_length_c 12.875
_cell_angle_alpha 90.00
_cell_angle_beta 90.00
_cell_angle_gamma 90.00
loop_
_atom_site_label
_atom_site_fract_x
_atom_site_fract_y
_atom_site_fract_z
Cd1 0.201 0.250 0.125
As1 0.000 0.000 0.000
Br1 0.000 0.000 0.500
```


[9]
First-principles (GGA-PBEsol) data for crystalline Cd4As2Br3 at its relaxed geometry, as listed in Alexandria.

- Spin magnetization: 0.00 μB/f.u.
- Uncorrected formation energy: -0.445 eV per atom
- Electronic total energy: -2.74 eV/atom

Structure (CIF):
```
data_Cd4As2Br3
_chemical_formula_sum 'Cd32 As16 Br24'
_symmetry_space_group_name_H-M 'P a -3'
_symmetry_Int_Tables_number 205
_symmetry_space_group_name_Hall '-P 2ac 2ab 3'
_cell_length_a 12.601
_cell_length_b 12.601
_cell_length_c 12.601
_cell_angle_alpha 90.00
_cell_angle_beta 90.00
_cell_angle_gamma 90.00
loop_
_atom_site_label
_atom_site_fract_x
_atom_site_fract_y
_atom_site_fract_z
Cd1 0.015 0.248 0.526
Cd2 0.221 0.721 0.779
As1 0.055 0.055 0.055
As2 0.103 0.603 0.897
Br1 0.068 0.236 0.312
```


[10]
First-principles (GGA-PBEsol) data for crystalline Cd2AsBr at its relaxed geometry, as listed in Alexandria.

- Spin magnetization: 0.00 μB/f.u.
- Uncorrected formation energy: 0.064 eV per atom
- Distance to the lowest polymorph of the same formula: 369 meV/atom
- Electronic total energy: -2.28 eV/atom

Structure (CIF):
```
data_Cd2AsBr
_chemical_formula_sum 'Cd4 As2 Br2'
_symmetry_space_group_name_H-M 'I m m 2'
_symmetry_Int_Tables_number 44
_symmetry_space_group_name_Hall 'I 2 -2'
_cell_length_a 3.118
_cell_length_b 5.570
_cell_length_c 10.293
_cell_angle_alpha 90.00
_cell_angle_beta 90.00
_cell_angle_gamma 90.00
loop_
_atom_site_label
_atom_site_fract_x
_atom_site_fract_y
_atom_site_fract_z
Cd1 0.000 0.000 0.000
Cd2 0.000 0.500 0.257
As1 0.000 0.000 0.529
Br1 0.000 0.500 0.741
```


[11]
First-principles (GGA-PBEsol) data for crystalline Cd2As3Br at its relaxed geometry, as listed in Alexandria.

- Spin magnetization: 0.00 μB/f.u.
- Uncorrected formation energy: -0.239 eV per atom
- Electronic total energy: -3.50 eV/atom

Structure (CIF):
```
data_Cd2As3Br
_chemical_formula_sum 'Cd8 As12 Br4'
_symmetry_space_group_name_H-M 'C 1 2/c 1'
_symmetry_Int_Tables_number 15
_symmetry_space_group_name_Hall '-C 2yc'
_cell_length_a 8.274
_cell_length_b 9.403
_cell_length_c 7.974
_cell_angle_alpha 90.00
_cell_angle_beta 101.80
_cell_angle_gamma 90.00
loop_
_atom_site_label
_atom_site_fract_x
_atom_site_fract_y
_atom_site_fract_z
Cd1 0.238 0.153 0.297
As1 0.000 0.211 0.750
As2 0.130 0.047 0.976
Br1 0.000 0.366 0.250
```


[12]
First-principles (GGA-PBEsol) data for crystalline CdCoAsBr2 at its relaxed geometry, as listed in Alexandria.

- Spin magnetization: 0.00 μB/f.u.
- Uncorrected formation energy: 0.154 eV per atom
- Electronic total energy: -3.40 eV/atom

Structure (CIF):
```
data_CdCoAsBr2
_chemical_formula_sum 'Cd1 Co1 As1 Br2'
_symmetry_space_group_name_H-M 'P 4/m m m'
_symmetry_Int_Tables_number 123
_symmetry_space_group_name_Hall '-P 4 2'
_cell_length_a 4.953
_cell_length_b 4.953
_cell_length_c 4.449
_cell_angle_alpha 90.00
_cell_angle_beta 90.00
_cell_angle_gamma 90.00
loop_
_atom_site_label
_atom_site_fract_x
_atom_site_fract_y
_atom_site_fract_z
Cd1 0.000 0.000 0.000
Co1 0.500 0.500 0.500
As1 0.500 0.500 0.000
Br1 0.000 0.500 0.500
```


[13]
First-principles (GGA-PBEsol) data for crystalline CdCuAs2Br at its relaxed geometry, as listed in Alexandria.

- Spin magnetization: 1.61 μB/f.u.
- Uncorrected formation energy: 1.104 eV per atom
- Electronic total energy: -2.42 eV/atom

Structure (CIF):
```
data_CdCuAs2Br
_chemical_formula_sum 'Cd1 Cu1 As2 Br1'
_symmetry_space_group_name_H-M 'P 4/m m m'
_symmetry_Int_Tables_number 123
_symmetry_space_group_name_Hall '-P 4 2'
_cell_length_a 5.072
_cell_length_b 5.072
_cell_length_c 5.397
_cell_angle_alpha 90.00
_cell_angle_beta 90.00
_cell_angle_gamma 90.00
loop_
_atom_site_label
_atom_site_fract_x
_atom_site_fract_y
_atom_site_fract_z
Cd1 0.000 0.000 0.000
Cu1 0.500 0.500 0.500
As1 0.000 0.500 0.000
Br1 0.000 0.000 0.500
```


[14]
First-principles (GGA-PBEsol) data for crystalline CdHgAsBr at its relaxed geometry, as listed in Alexandria.

- Spin magnetization: 0.00 μB/f.u.
- Uncorrected formation energy: -0.302 eV per atom
- Electronic total energy: -2.49 eV/atom

Structure (CIF):
```
data_CdHgAsBr
_chemical_formula_sum 'Cd4 Hg4 As4 Br4'
_symmetry_space_group_name_H-M 'P m m a'
_symmetry_Int_Tables_number 51
_symmetry_space_group_name_Hall '-P 2a 2a'
_cell_length_a 10.918
_cell_length_b 4.698
_cell_length_c 9.513
_cell_angle_alpha 90.00
_cell_angle_beta 90.00
_cell_angle_gamma 90.00
loop_
_atom_site_label
_atom_site_fract_x
_atom_site_fract_y
_atom_site_fract_z
Cd1 0.076 0.000 0.213
Hg1 0.000 0.500 0.500
Hg2 0.250 0.500 0.772
As1 0.021 0.500 0.764
Br1 0.250 0.000 0.009
Br2 0.250 0.000 0.425
```


[15]
First-principles (GGA-PBEsol) data for crystalline CdHgAs2Br at its relaxed geometry, as listed in Alexandria.

- Spin magnetization: 1.29 μB/f.u.
- Uncorrected formation energy: 0.767 eV per atom
- Electronic total energy: -2.00 eV/atom

Structure (CIF):
```
data_CdHgAs2Br
_chemical_formula_sum 'Cd1 Hg1 As2 Br1'
_symmetry_space_group_name_H-M 'P 4/m m m'
_symmetry_Int_Tables_number 123
_symmetry_space_group_name_Hall '-P 4 2'
_cell_length_a 5.136
_cell_length_b 5.136
_cell_length_c 5.513
_cell_angle_alpha 90.00
_cell_angle_beta 90.00
_cell_angle_gamma 90.00
loop_
_atom_site_label
_atom_site_fract_x
_atom_site_fract_y
_atom_site_fract_z
Cd1 0.000 0.000 0.000
Hg1 0.500 0.500 0.500
As1 0.000 0.500 0.500
Br1 0.500 0.500 0.000
```


[16]
First-principles (GGA-PBEsol) data for crystalline CdHg6As4Br6 at its relaxed geometry, as listed in Alexandria.

- Spin magnetization: 0.00 μB/f.u.
- Uncorrected formation energy: -0.353 eV per atom
- Electronic total energy: -2.48 eV/atom

Structure (CIF):
```
data_CdHg6As4Br6
_chemical_formula_sum 'Cd4 Hg24 As16 Br24'
_symmetry_space_group_name_H-M 'P a -3'
_symmetry_Int_Tables_number 205
_symmetry_space_group_name_Hall '-P 2ac 2ab 3'
_cell_length_a 12.392
_cell_length_b 12.392
_cell_length_c 12.392
_cell_angle_alpha 90.00
_cell_angle_beta 90.00
_cell_angle_gamma 90.00
loop_
_atom_site_label
_atom_site_fract_x
_atom_site_fract_y
_atom_site_fract_z
Cd1 0.000 0.000 0.000
Hg1 0.024 0.214 0.721
As1 0.171 0.671 0.829
As2 0.217 0.217 0.217
Br1 0.032 0.219 0.962
```


[17]
First-principles (GGA-PBEsol) data for crystalline CdMoAs2Br at its relaxed geometry, as listed in Alexandria.

- Spin magnetization: 0.00 μB/f.u.
- Uncorrected formation energy: 0.316 eV per atom
- Electronic total energy: -4.69 eV/atom

Structure (CIF):
```
data_CdMoAs2Br
_chemical_formula_sum 'Cd1 Mo1 As2 Br1'
_symmetry_space_group_name_H-M 'P 4/m m m'
_symmetry_Int_Tables_number 123
_symmetry_space_group_name_Hall '-P 4 2'
_cell_length_a 4.786
_cell_length_b 4.786
_cell_length_c 5.305
_cell_angle_alpha 90.00
_cell_angle_beta 90.00
_cell_angle_gamma 90.00
loop_
_atom_site_label
_atom_site_fract_x
_atom_site_fract_y
_atom_site_fract_z
Cd1 0.000 0.000 0.000
Mo1 0.500 0.500 0.500
As1 0.000 0.500 0.500
Br1 0.500 0.500 0.000
```


[18]
First-principles (GGA-PBEsol) data for crystalline CdAsBr2N at its relaxed geometry, as listed in Alexandria.

- Spin magnetization: 0.00 μB/f.u.
- Uncorrected formation energy: 0.758 eV per atom
- Electronic total energy: -2.96 eV/atom

Structure (CIF):
```
data_CdAsBr2N
_chemical_formula_sum 'Cd1 As1 Br2 N1'
_symmetry_space_group_name_H-M 'P 4/m m m'
_symmetry_Int_Tables_number 123
_symmetry_space_group_name_Hall '-P 4 2'
_cell_length_a 4.649
_cell_length_b 4.649
_cell_length_c 4.433
_cell_angle_alpha 90.00
_cell_angle_beta 90.00
_cell_angle_gamma 90.00
loop_
_atom_site_label
_atom_site_fract_x
_atom_site_fract_y
_atom_site_fract_z
Cd1 0.000 0.000 0.000
As1 0.500 0.500 0.000
Br1 0.000 0.500 0.500
N1 0.500 0.500 0.500
```


[19]
First-principles (GGA-PBEsol) data for crystalline CdNiAsBr2 at its relaxed geometry, as listed in Alexandria.

- Spin magnetization: 0.00 μB/f.u.
- Uncorrected formation energy: 0.146 eV per atom
- Electronic total energy: -3.09 eV/atom

Structure (CIF):
```
data_CdNiAsBr2
_chemical_formula_sum 'Cd1 Ni1 As1 Br2'
_symmetry_space_group_name_H-M 'P 4/m m m'
_symmetry_Int_Tables_number 123
_symmetry_space_group_name_Hall '-P 4 2'
_cell_length_a 4.879
_cell_length_b 4.879
_cell_length_c 4.638
_cell_angle_alpha 90.00
_cell_angle_beta 90.00
_cell_angle_gamma 90.00
loop_
_atom_site_label
_atom_site_fract_x
_atom_site_fract_y
_atom_site_fract_z
Cd1 0.000 0.000 0.000
Ni1 0.500 0.500 0.500
As1 0.500 0.500 0.000
Br1 0.000 0.500 0.500
```


[20]
First-principles (GGA-PBEsol) data for crystalline CdAsPBr2 at its relaxed geometry, as listed in Alexandria.

- Spin magnetization: 0.00 μB/f.u.
- Uncorrected formation energy: 0.300 eV per atom
- Electronic total energy: -2.87 eV/atom

Structure (CIF):
```
data_CdAsPBr2
_chemical_formula_sum 'Cd1 As1 P1 Br2'
_symmetry_space_group_name_H-M 'P 4/m m m'
_symmetry_Int_Tables_number 123
_symmetry_space_group_name_Hall '-P 4 2'
_cell_length_a 4.967
_cell_length_b 4.967
_cell_length_c 4.966
_cell_angle_alpha 90.00
_cell_angle_beta 90.00
_cell_angle_gamma 90.00
loop_
_atom_site_label
_atom_site_fract_x
_atom_site_fract_y
_atom_site_fract_z
Cd1 0.000 0.000 0.000
As1 0.500 0.500 0.000
P1 0.500 0.500 0.500
Br1 0.000 0.500 0.500
```